[1]
DFT (GGA-PBE) results for a relaxed Ta2HgO crystal.

Output
Total moment ... 0.00 μB per atom
ΔE_f (raw) ... 0.423 eV per atom
Relative energy among the computed polymorphs ... 485 meV per atom

Unit cell a=6.356 b=6.356 c=6.356 alpha=90.00 beta=90.00 gamma=90.00
Space group Fm-3m (No. 225)
Inequivalent atoms, fractional coordinates:
Ta: 0.250 0.250 0.250 (multiplicity 8)
Hg: 0.000 0.000 0.000 (multiplicity 4)
O: 0.000 0.000 0.500 (multiplicity 4)

[2]
DFT (GGA-PBE) results for a relaxed TaHg3O crystal.

Output
Total moment ... 0.48 μB per atom
ΔE_f (raw) ... 0.936 eV per atom
Relative energy among the computed polymorphs ... 0 meV per atom

Unit cell a=4.678 b=4.678 c=4.678 alpha=90.00 beta=90.00 gamma=90.00
Space group Pm-3m (No. 221)
Inequivalent atoms, fractional coordinates:
Ta: 0.000 0.000 0.000 (multiplicity 1)
Hg: 0.000 0.500 0.500 (multiplicity 3)
O: 0.500 0.500 0.500 (multiplicity 1)

[3]
DFT (GGA-PBE) results for a relaxed Ta2HgO crystal.

Output
Total moment ... 0.00 μB per atom
ΔE_f (raw) ... -0.062 eV per atom
Relative energy among the computed polymorphs ... 0 meV per atom

Unit cell a=5.097 b=5.097 c=12.077 alpha=90.00 beta=90.00 gamma=90.00
Space group I-42d (No. 122)
Inequivalent atoms, fractional coordinates:
Ta: 0.114 0.250 0.125 (multiplicity 8)
Hg: 0.000 0.000 0.500 (multiplicity 4)
O: 0.000 0.000 0.000 (multiplicity 4)

[4]
DFT (GGA-PBE) results for a relaxed TaTcHgO6 crystal.

Output
Total moment ... 0.00 μB per atom
ΔE_f (raw) ... -1.628 eV per atom

Unit cell a=7.292 b=7.455 c=10.513 alpha=90.00 beta=90.00 gamma=90.00
Space group Imma (No. 74)
Inequivalent atoms, fractional coordinates:
Ta: 0.000 0.000 0.000 (multiplicity 4)
Tc: 0.250 0.250 0.250 (multiplicity 4)
Hg: 0.000 0.250 0.591 (multiplicity 4)
O: 0.000 0.250 0.309 (multiplicity 4)
O: 0.000 0.250 0.942 (multiplicity 4)
O: 0.186 0.073 0.130 (multiplicity 16)